Here is LaTl after structural relaxation from the Alexandria database. Energies are from PBEsol.

a b c (Å): 4.017 4.952 6.541
angles (deg): 90.00 107.88 90.00
Sites, in units of the cell vectors:
Tl 0.919 0.750 0.838
Tl 0.081 0.250 0.162
La 0.648 0.750 0.297
La 0.352 0.250 0.703

Space group: Cmcm
E_form (eV/atom): -0.396
Magnetization (μB per atom): 0.054

---

Here is Al2Sb after structural relaxation from the Alexandria database. Energies are from PBEsol.

a b c (Å): 5.281 5.141 5.141
angles (deg): 60.18 90.00 90.00
Sites, in units of the cell vectors:
Sb 0.250 0.752 0.248
Sb 0.750 0.248 0.752
Al 0.250 0.084 0.579
Al 0.750 0.916 0.421
Al 0.250 0.421 0.916
Al 0.750 0.579 0.084

Space group: Cmcm
Magnetization (μB per atom): 0.000
Formation energy from raw total energies (meV per atom): 172.9

---

Here is Y3Si3Pd2 after structural relaxation from the Alexandria database. Energies are from PBEsol.

a b c (Å): 4.213 5.582 13.945
angles (deg): 90.00 90.00 112.17
Sites, in units of the cell vectors:
Y 0.585 0.170 0.111
Y 0.415 0.830 0.889
Y 0.136 0.273 0.750
Y 0.864 0.727 0.250
Y 0.585 0.170 0.389
Y 0.415 0.830 0.611
Si 0.160 0.320 0.250
Si 0.840 0.680 0.750
Si 0.107 0.215 0.961
Si 0.893 0.785 0.039
Si 0.893 0.785 0.461
Si 0.107 0.215 0.539
Pd 0.707 0.414 0.906
Pd 0.293 0.586 0.094
Pd 0.293 0.586 0.406
Pd 0.707 0.414 0.594

Space group: Cmcm
Magnetization (μB per atom): 0.000
Formation energy from raw total energies (meV per atom): -1030.5

---

Here is OsAu2Cl after structural relaxation from the Alexandria database. Energies are from PBEsol.

a b c (Å): 2.916 2.917 7.905
angles (deg): 90.00 90.00 90.00
Each line ends with the local moment (μB).
Sites, in units of the cell vectors:
Os 0.500 0.500 0.500  0.79
Au 0.000 0.000 0.733  0.09
Au 0.000 0.000 0.267  0.09
Cl 0.500 0.500 0.000  0.03

Space group: P4/mmm
Magnetization (μB per atom): 0.263
Formation energy from raw total energies (meV per atom): 692.9

---

Here is BaWI2O after structural relaxation from the Alexandria database. Energies are from PBEsol.

a b c (Å): 4.388 6.498 6.498
angles (deg): 90.00 90.00 90.00
Each line ends with the local moment (μB).
Sites, in units of the cell vectors:
I 0.000 0.000 0.500  -0.05
I 0.000 0.500 0.000  -0.05
O 0.500 0.000 0.000  0.08
Ba 0.000 0.000 0.000  0.02
W 0.500 0.500 0.500  3.49

Space group: P4/mmm
Magnetization (μB per atom): 0.977
Formation energy from raw total energies (meV per atom): 758.2

---

Here is LiEu2Cd after structural relaxation from the Alexandria database. Energies are from PBEsol.

a b c (Å): 5.469 5.469 5.469
angles (deg): 60.00 60.00 60.00
Each line ends with the local moment (μB).
Sites, in units of the cell vectors:
Eu 0.750 0.750 0.750  6.89
Eu 0.250 0.250 0.250  6.89
Li 0.000 0.000 0.000  0.02
Cd 0.500 0.500 0.500  0.02

Space group: Fm-3m
E_form (eV/atom): -0.155
Magnetization (μB per atom): 3.666

---

Here is TaMnGe2W after structural relaxation from the Alexandria database. Energies are from PBEsol.

a b c (Å): 4.864 4.864 4.885
angles (deg): 90.00 90.00 90.00
Each line ends with the local moment (μB).
Sites, in units of the cell vectors:
Ge 0.000 0.500 0.000  0.01
Ge 0.500 0.000 0.000  0.01
Mn 0.500 0.500 0.500  4.30
W 0.000 0.000 0.500  -1.11
Ta 0.000 0.000 0.000  0.18

Space group: P4/mmm
E_form (eV/atom): 1.571
Magnetization (μB per atom): 0.683

---

Here is CrGaAsBr2 after structural relaxation from the Alexandria database. Energies are from PBEsol.

a b c (Å): 4.682 5.128 5.128
angles (deg): 90.00 90.00 90.00
Each line ends with the local moment (μB).
Sites, in units of the cell vectors:
Cr 0.000 0.000 0.000  2.86
As 0.500 0.000 0.000  -0.42
Ga 0.500 0.500 0.500  -0.01
Br 0.000 0.000 0.500  -0.04
Br 0.000 0.500 0.000  -0.04

Space group: P4/mmm
Magnetization (μB per atom): 0.417
Formation energy from raw total energies (meV per atom): 16.0